Computed, not measured: TbHoBeRu after structural relaxation at the GGA-PBE level of DFT.

abc: 6.828 6.828 6.828
angles: 90.00 90.00 90.00
Space group F-43m (No. 216)
Unique sites:
1 Tb 0.000 0.000 0.000 (multiplicity 4)
2 Ho 0.000 0.000 0.500 (multiplicity 4)
3 Be 0.250 0.250 0.750 (multiplicity 4)
4 Ru 0.250 0.250 0.250 (multiplicity 4)

***

Computed, not measured: RbBi3Ru after structural relaxation at the GGA-PBE level of DFT.

Computed properties:
energy above the lowest structure with this stoichiometry: 0 meV/atom

abc: 5.471 5.471 5.471
angles: 90.00 90.00 90.00
Space group Pm-3m (No. 221)
Unique sites:
1 Rb 0.000 0.000 0.000 (multiplicity 1)
2 Bi 0.000 0.500 0.500 (multiplicity 3)
3 Ru 0.500 0.500 0.500 (multiplicity 1)

***

How do the records compare in final energy? In the order shown, they have -91.1; -20.6 eV/cell.